A plane-wave DFT calculation with GGA-PBE was carried out for MnAsP2 after structural relaxation.

Computed properties:
**Space group**: Cmmm
**Energy relative to the elements**: 373.8 meV per atom
**Crystal system**: orthorhombic

Cell lengths 4.366, 4.366, 3.307 Å; angles 90.00, 90.00, 103.98 degrees
Site moments in Bohr magnetons follow the coordinates.
Fractional coordinates of all 4 atoms:
As (0.500, 0.000, 0.500)  -0.01
Mn (0.000, 0.500, 0.500)  3.32
P (0.000, 0.000, 0.000)  -0.07
P (0.500, 0.500, 0.000)  -0.07

=====

A plane-wave DFT calculation with GGA-PBE was carried out for ScInAg2 after structural relaxation.

Computed properties:
**Space group**: R-3m
**Energy relative to the elements**: -19.6 meV per atom
**Crystal system**: trigonal

Cell lengths 9.160, 9.160, 9.160 Å; angles 21.01, 21.01, 21.01 degrees
Fractional coordinates of all 4 atoms:
Ag (0.002, 0.002, 0.002)
Ag (0.498, 0.498, 0.498)
In (0.250, 0.250, 0.250)
Sc (0.750, 0.750, 0.750)

=====

A plane-wave DFT calculation with GGA-PBE was carried out for La2Nd6YHo after structural relaxation.

Computed properties:
**Space group**: C2/c
**Energy relative to the elements**: 111.0 meV per atom
**Crystal system**: monoclinic

Cell lengths 10.092, 8.962, 8.962 Å; angles 118.22, 95.07, 95.07 degrees
Fractional coordinates of all 20 atoms:
La (0.459, 0.806, 0.705)
La (0.041, 0.295, 0.194)
La (0.541, 0.194, 0.295)
La (0.959, 0.705, 0.806)
Nd (0.055, 0.124, 0.745)
Nd (0.445, 0.255, 0.876)
Nd (0.945, 0.876, 0.255)
Nd (0.555, 0.745, 0.124)
Nd (0.310, 0.981, 0.419)
Nd (0.190, 0.581, 0.019)
Nd (0.690, 0.019, 0.581)
Nd (0.810, 0.419, 0.981)
Nd (0.121, 0.707, 0.504)
Nd (0.379, 0.496, 0.293)
Nd (0.879, 0.293, 0.496)
Nd (0.621, 0.504, 0.707)
Y (0.250, 0.986, 0.014)
Y (0.750, 0.014, 0.986)
Ho (0.250, 0.405, 0.595)
Ho (0.750, 0.595, 0.405)

=====

A plane-wave DFT calculation with GGA-PBE was carried out for TbCdSn after structural relaxation.

Computed properties:
**Space group**: I4mm
**Energy relative to the elements**: -300.0 meV per atom
**Crystal system**: tetragonal

Cell lengths 3.575, 3.575, 6.607 Å; angles 105.70, 105.70, 90.00 degrees
Fractional coordinates of all 3 atoms:
Tb (0.998, 0.998, 0.997)
Sn (0.673, 0.673, 0.347)
Cd (0.328, 0.328, 0.657)

=====

A plane-wave DFT calculation with GGA-PBE was carried out for Cs2CaSe2 after structural relaxation.

Computed properties:
**Space group**: P4/mbm
**ΔE to the lowest computed polymorph**: 34.8 kJ per mole of atoms
**ΔE_f (raw)**: -1.0725 eV per atom
**Crystal system**: tetragonal

Cell lengths 8.421, 8.421, 5.518 Å; angles 90.00, 90.00, 90.00 degrees
Fractional coordinates of all 10 atoms:
Cs (0.143, 0.643, 0.500)
Cs (0.643, 0.857, 0.500)
Cs (0.857, 0.357, 0.500)
Cs (0.357, 0.143, 0.500)
Ca (0.000, 0.000, 0.000)
Ca (0.500, 0.500, 0.000)
Se (0.317, 0.817, 0.000)
Se (0.817, 0.683, 0.000)
Se (0.683, 0.183, 0.000)
Se (0.183, 0.317, 0.000)

=====

A plane-wave DFT calculation with GGA-PBE was carried out for TlFeC3 after structural relaxation.

Computed properties:
**Space group**: Pm-3m
**ΔE to the lowest computed polymorph**: 0.0 kJ per mole of atoms
**Energy relative to the elements**: 2020.1 meV per atom
**Crystal system**: cubic

Cell lengths 3.898, 3.898, 3.898 Å; angles 90.00, 90.00, 90.00 degrees
Fractional coordinates of all 5 atoms:
C (0.000, 0.500, 0.000)
C (0.000, 0.000, 0.500)
C (0.500, 0.000, 0.000)
Tl (0.500, 0.500, 0.500)
Fe (0.000, 0.000, 0.000)

=====

A plane-wave DFT calculation with GGA-PBE was carried out for AgTe2 after structural relaxation.

Computed properties:
**Space group**: I4_1/amd
**ΔE_f (raw)**: 0.1884 eV per atom
**Crystal system**: tetragonal

Cell lengths 11.662, 11.662, 11.662 Å; angles 161.07, 161.07, 26.90 degrees
Fractional coordinates of all 6 atoms:
Ag (0.000, 0.000, 0.000)
Ag (0.750, 0.250, 0.500)
Te (0.568, 0.568, 0.000)
Te (0.182, 0.682, 0.500)
Te (0.432, 0.432, 0.000)
Te (0.318, 0.818, 0.500)

=====

A plane-wave DFT calculation with GGA-PBE was carried out for ThPaC after structural relaxation.

Computed properties:
**Space group**: P3m1
**ΔE to the lowest computed polymorph**: 0.0 kJ per mole of atoms
**Energy relative to the elements**: -126.3 meV per atom
**Crystal system**: trigonal

Cell lengths 6.076, 3.545, 3.545 Å; angles 120.00, 90.00, 90.00 degrees
Site moments in Bohr magnetons follow the coordinates.
Fractional coordinates of all 3 atoms:
C (0.016, 0.000, 0.000)  0.00
Pa (0.233, 0.333, 0.667)  0.19
Th (0.751, 0.667, 0.333)  0.06

=====

A plane-wave DFT calculation with GGA-PBE was carried out for AlTlTc2 after structural relaxation.

Computed properties:
**Space group**: C2/m
**ΔE to the lowest computed polymorph**: 19.6 kJ per mole of atoms
**Energy relative to the elements**: 330.1 meV per atom
**Crystal system**: monoclinic

Cell lengths 4.668, 4.668, 5.292 Å; angles 79.41, 79.41, 37.06 degrees
Fractional coordinates of all 4 atoms:
Tl (0.750, 0.750, 0.750)
Tc (0.992, 0.992, 0.046)
Tc (0.508, 0.508, 0.454)
Al (0.250, 0.250, 0.250)

=====

A plane-wave DFT calculation with GGA-PBE was carried out for CoAgPb2 after structural relaxation.

Computed properties:
**Space group**: R-3m
**ΔE to the lowest computed polymorph**: 3.3 kJ per mole of atoms
**Energy relative to the elements**: 358.7 meV per atom
**Crystal system**: trigonal

Cell lengths 9.018, 9.018, 9.018 Å; angles 21.59, 21.59, 21.59 degrees
Site moments in Bohr magnetons follow the coordinates.
Fractional coordinates of all 4 atoms:
Ag (0.250, 0.250, 0.250)  0.01
Co (0.750, 0.750, 0.750)  1.28
Pb (0.010, 0.010, 0.010)  -0.02
Pb (0.490, 0.490, 0.490)  -0.02

=====

A plane-wave DFT calculation with GGA-PBE was carried out for Sc2WI after structural relaxation.

Computed properties:
**Space group**: Fm-3m
**ΔE to the lowest computed polymorph**: 16.9 kJ per mole of atoms
**ΔE_f (raw)**: 0.4854 eV per atom
**Crystal system**: cubic

Cell lengths 4.905, 4.905, 4.905 Å; angles 60.00, 60.00, 60.00 degrees
Fractional coordinates of all 4 atoms:
I (0.000, 0.000, 0.000)
Sc (0.250, 0.250, 0.250)
Sc (0.750, 0.750, 0.750)
W (0.500, 0.500, 0.500)

=====

A plane-wave DFT calculation with GGA-PBE was carried out for FeSeS2Cl after structural relaxation.

Computed properties:
**Space group**: P4/mmm
**ΔE to the lowest computed polymorph**: 96.7 kJ per mole of atoms
**ΔE_f (raw)**: 1.3891 eV per atom
**Crystal system**: tetragonal

Cell lengths 4.943, 4.943, 4.076 Å; angles 90.00, 90.00, 90.00 degrees
Site moments in Bohr magnetons follow the coordinates.
Fractional coordinates of all 5 atoms:
S (0.000, 0.500, 0.000)  -0.01
S (0.500, 0.000, 0.000)  -0.01
Fe (0.000, 0.000, 0.500)  0.04
Se (0.500, 0.500, 0.500)  0.09
Cl (0.000, 0.000, 0.000)  0.00

=====

A plane-wave DFT calculation with GGA-PBE was carried out for TbCeCd after structural relaxation.

Computed properties:
**Space group**: P-6m2
**ΔE to the lowest computed polymorph**: 16.5 kJ per mole of atoms
**Energy relative to the elements**: 33.0 meV per atom
**Crystal system**: hexagonal

Cell lengths 3.086, 5.392, 5.392 Å; angles 120.00, 90.00, 90.00 degrees
Site moments in Bohr magnetons follow the coordinates.
Fractional coordinates of all 3 atoms:
Tb (0.167, 0.333, 0.667)  0.00
Ce (0.167, 0.000, 0.000)  0.82
Cd (0.666, 0.667, 0.333)  -0.01

=====

A plane-wave DFT calculation with GGA-PBE was carried out for Ta2Tc3 after structural relaxation.

Computed properties:
**Space group**: P-3m1
**ΔE to the lowest computed polymorph**: 37.5 kJ per mole of atoms
**Energy relative to the elements**: 297.7 meV per atom
**Crystal system**: trigonal

Cell lengths 4.370, 4.370, 5.385 Å; angles 90.00, 90.00, 120.00 degrees
Fractional coordinates of all 5 atoms:
Ta (0.667, 0.333, 0.175)
Ta (0.333, 0.667, 0.825)
Tc (0.000, 0.000, 0.000)
Tc (0.667, 0.333, 0.663)
Tc (0.333, 0.667, 0.337)

=====

A plane-wave DFT calculation with GGA-PBE was carried out for AgSb2TePd after structural relaxation.

Computed properties:
**Space group**: P4/mmm
**ΔE to the lowest computed polymorph**: 0.0 kJ per mole of atoms
**ΔE_f (raw)**: 0.4253 eV per atom
**Crystal system**: tetragonal

Cell lengths 5.184, 5.184, 5.477 Å; angles 90.00, 90.00, 90.00 degrees
Fractional coordinates of all 5 atoms:
Sb (0.000, 0.500, 0.000)
Sb (0.500, 0.000, 0.000)
Te (0.000, 0.000, 0.500)
Pd (0.000, 0.000, 0.000)
Ag (0.500, 0.500, 0.500)

=====

A plane-wave DFT calculation with GGA-PBE was carried out for Sm2HoEr4Sc after structural relaxation.

Computed properties:
**Space group**: P2/m
**Energy relative to the elements**: 33.5 meV per atom
**Crystal system**: monoclinic

Cell lengths 4.971, 4.972, 11.071 Å; angles 63.31, 90.00, 90.00 degrees
Fractional coordinates of all 8 atoms:
Sm (0.000, 0.000, 0.000)
Sm (0.500, 0.000, 0.500)
Ho (0.500, 0.500, 0.000)
Er (0.000, 0.756, 0.746)
Er (0.000, 0.244, 0.254)
Er (0.500, 0.744, 0.254)
Er (0.500, 0.256, 0.746)
Sc (0.000, 0.500, 0.500)

=====

A plane-wave DFT calculation with GGA-PBE was carried out for AlZnIrO6 after structural relaxation.

Computed properties:
**Space group**: P-31c
**ΔE_f (raw)**: -1.3199 eV per atom
**Crystal system**: trigonal

Cell lengths 4.999, 4.999, 8.852 Å; angles 90.00, 90.00, 120.00 degrees
Fractional coordinates of all 18 atoms:
Al (0.333, 0.667, 0.250)
Al (0.667, 0.333, 0.750)
Zn (0.000, 0.000, 0.000)
Zn (0.000, 0.000, 0.500)
Ir (0.667, 0.333, 0.250)
Ir (0.333, 0.667, 0.750)
O (0.643, 0.648, 0.134)
O (0.004, 0.357, 0.134)
O (0.357, 0.004, 0.634)
O (0.996, 0.643, 0.866)
O (0.352, 0.357, 0.366)
O (0.004, 0.648, 0.366)
O (0.648, 0.004, 0.866)
O (0.643, 0.996, 0.366)
O (0.996, 0.352, 0.634)
O (0.352, 0.996, 0.134)
O (0.648, 0.643, 0.634)
O (0.357, 0.352, 0.866)

=====

A plane-wave DFT calculation with GGA-PBE was carried out for NbSn2PbN after structural relaxation.

Computed properties:
**Space group**: P4/mmm
**ΔE_f (raw)**: 1.2546 eV per atom
**Crystal system**: tetragonal

Cell lengths 5.396, 5.518, 5.396 Å; angles 90.00, 90.00, 90.00 degrees
Site moments in Bohr magnetons follow the coordinates.
Fractional coordinates of all 5 atoms:
Pb (0.000, 0.500, 0.000)  0.00
Nb (0.000, 0.000, 0.000)  0.34
Sn (0.000, 0.000, 0.500)  0.01
Sn (0.500, 0.000, 0.000)  0.01
N (0.500, 0.500, 0.500)  1.74

=====

A plane-wave DFT calculation with GGA-PBE was carried out for LaSbRh after structural relaxation.

Computed properties:
**Space group**: P-62m
**ΔE_f (raw)**: -0.9834 eV per atom
**Crystal system**: hexagonal

Cell lengths 7.621, 8.691, 8.691 Å; angles 57.30, 63.99, 63.99 degrees
Fractional coordinates of all 18 atoms:
La (0.257, 0.954, 0.454)
La (0.666, 0.046, 0.546)
La (0.666, 0.546, 0.046)
La (0.257, 0.454, 0.954)
La (0.848, 0.250, 0.750)
La (0.849, 0.750, 0.250)
Sb (0.513, 0.500, 0.500)
Sb (0.513, 0.000, 0.000)
Sb (0.257, 0.872, 0.872)
Sb (0.000, 0.128, 0.128)
Sb (0.000, 0.628, 0.628)
Sb (0.257, 0.372, 0.372)
Rh (0.257, 0.750, 0.250)
Rh (0.257, 0.250, 0.750)
Rh (0.590, 0.667, 0.667)
Rh (0.923, 0.333, 0.333)
Rh (0.923, 0.833, 0.833)
Rh (0.590, 0.167, 0.167)

=====

A plane-wave DFT calculation with GGA-PBE was carried out for AcSmLuGa after structural relaxation.

Computed properties:
**Space group**: F-43m
**Energy relative to the elements**: 65.9 meV per atom
**Crystal system**: cubic

Cell lengths 5.481, 5.481, 5.481 Å; angles 60.00, 60.00, 60.00 degrees
Fractional coordinates of all 4 atoms:
Ac (0.750, 0.750, 0.750)
Lu (0.000, 0.000, 0.000)
Sm (0.500, 0.500, 0.500)
Ga (0.250, 0.250, 0.250)

=====

Calculated VASP energy (eV/atom), listed in the same order as above: -5.786 -3.713 -4.839 -3.483 -3.208 -5.680 -2.856 -8.839 -6.380 -3.985 -6.306 -3.021 -3.793 -10.663 -3.461 -4.791 -6.167 -4.767 -6.450 -4.028
Calculated total magnetization (μB per formula unit), listed in the same order as above: 3.1 0.0 0.0 0.0 0.0 0.0 0.0 0.4 0.0 1.2 0.0 0.2 1.0 0.0 0.0 0.0 0.0 3.0 0.0 0.0